Entry 1:
# K2CeYO4 (GGA-PBE, optimized geometry)
# Magnetization: 1.01 μB per cell
# Fermi-level density of states: 0.312 states/eV/atom
# VASP energy: -6.96 eV/atom
# Symmetry: No. 10
data_K2CeYO4
_space_group_name_H-M_alt 'P 1'
_space_group_IT_number 1
_cell_length_a 6.187
_cell_length_b 3.570
_cell_length_c 6.605
_cell_angle_alpha 90.00
_cell_angle_beta 108.11
_cell_angle_gamma 90.00
loop_
_space_group_symop_operation_xyz
'x,y,z'
loop_
_atom_site_label
_atom_site_fract_x
_atom_site_fract_y
_atom_site_fract_z
_atom_site_occupancy
K1 0.000 0.000 0.000 1
K2 0.500 0.500 0.000 1
Ce1 0.000 0.500 0.500 1
Y1 0.500 0.000 0.500 1
O1 0.237 0.000 0.689 1
O2 0.278 0.500 0.313 1
O3 0.722 0.500 0.687 1
O4 0.763 0.000 0.311 1


Entry 2:
# K3Ce2YO6 (GGA-PBE, optimized geometry)
# Magnetization: 2.02 μB per cell
# Fermi-level density of states: 0.523 states/eV/atom
# VASP energy: -6.91 eV/atom
# Symmetry: No. 12
data_K3Ce2YO6
_space_group_name_H-M_alt 'P 1'
_space_group_IT_number 1
_cell_length_a 6.230
_cell_length_b 6.230
_cell_length_c 6.615
_cell_angle_alpha 99.03
_cell_angle_beta 99.03
_cell_angle_gamma 120.00
loop_
_space_group_symop_operation_xyz
'x,y,z'
loop_
_atom_site_label
_atom_site_fract_x
_atom_site_fract_y
_atom_site_fract_z
_atom_site_occupancy
K1 0.000 0.000 0.000 1
K2 0.335 0.665 0.000 1
K3 0.665 0.335 0.000 1
Ce1 0.167 0.833 0.500 1
Ce2 0.833 0.167 0.500 1
Y1 0.500 0.500 0.500 1
O1 0.112 0.437 0.312 1
O2 0.237 0.237 0.688 1
O3 0.437 0.112 0.312 1
O4 0.563 0.888 0.688 1
O5 0.763 0.763 0.312 1
O6 0.888 0.563 0.688 1


Entry 3:
# KCe2ZnO5 (GGA-PBE, optimized geometry)
# Magnetization: 2.06 μB per cell
# Fermi-level density of states: 0.949 states/eV/atom
# VASP energy: -6.93 eV/atom
# Symmetry: No. 140
data_KCe2ZnO5
_space_group_name_H-M_alt 'P 1'
_space_group_IT_number 1
_cell_length_a 7.505
_cell_length_b 7.505
_cell_length_c 7.505
_cell_angle_alpha 126.55
_cell_angle_beta 126.55
_cell_angle_gamma 78.98
loop_
_space_group_symop_operation_xyz
'x,y,z'
loop_
_atom_site_label
_atom_site_fract_x
_atom_site_fract_y
_atom_site_fract_z
_atom_site_occupancy
K1 0.250 0.250 0.000 1
K2 0.750 0.750 0.000 1
Ce1 0.179 0.679 0.859 1
Ce2 0.321 0.179 0.500 1
Ce3 0.679 0.821 0.500 1
Ce4 0.821 0.321 0.141 1
Zn1 0.250 0.750 0.500 1
Zn2 0.750 0.250 0.500 1
O1 0.000 0.000 0.000 1
O2 0.017 0.234 0.500 1
O3 0.234 0.734 0.217 1
O4 0.266 0.483 0.500 1
O5 0.483 0.983 0.217 1
O6 0.500 0.500 0.000 1
O7 0.517 0.017 0.783 1
O8 0.734 0.517 0.500 1
O9 0.766 0.266 0.783 1
O10 0.983 0.766 0.500 1


Entry 4:
# K2CeZnO4 (GGA-PBE, optimized geometry)
# Magnetization: 0.00 μB per cell
# Fermi-level density of states: 0.000 states/eV/atom
# VASP energy: -5.73 eV/atom
# Symmetry: No. 10
data_K2CeZnO4
_space_group_name_H-M_alt 'P 1'
_space_group_IT_number 1
_cell_length_a 5.536
_cell_length_b 3.692
_cell_length_c 6.463
_cell_angle_alpha 90.00
_cell_angle_beta 104.78
_cell_angle_gamma 90.00
loop_
_space_group_symop_operation_xyz
'x,y,z'
loop_
_atom_site_label
_atom_site_fract_x
_atom_site_fract_y
_atom_site_fract_z
_atom_site_occupancy
K1 0.000 0.000 0.000 1
K2 0.500 0.500 0.000 1
Ce1 0.000 0.500 0.500 1
Zn1 0.500 0.000 0.500 1
O1 0.236 0.500 0.290 1
O2 0.251 0.000 0.674 1
O3 0.749 0.000 0.326 1
O4 0.764 0.500 0.710 1


Q: What is the VASP energy in the fourth record?
A: -5.73 eV/atom


Q: Among the records above, which one has the lowest VASP energy?
A: K2CeYO4